The following is a DFT calculation (PBE with a Hubbard U) of a geometry-optimized Ca3Mn2Ga2O10 structure.

Cell and atoms, written as CIF:
```
data_Ca3Mn2Ga2O10
_space_group_name_H-M_alt 'P 1'
_space_group_IT_number 1
_cell_length_a 5.410
_cell_length_b 5.702
_cell_length_c 7.892
_cell_angle_alpha 109.38
_cell_angle_beta 109.20
_cell_angle_gamma 90.11
loop_
_space_group_symop_operation_xyz
'x,y,z'
loop_
_atom_site_label
_atom_site_fract_x
_atom_site_fract_y
_atom_site_fract_z
_atom_site_occupancy
Ca1 0.000 0.000 0.000 1
Ca2 0.224 0.140 0.454 1
Ca3 0.511 0.441 0.040 1
Mn1 0.099 0.576 0.242 1
Mn2 0.605 0.064 0.243 1
Ga1 0.407 0.738 0.726 1
Ga2 0.895 0.414 0.722 1
O1 0.201 0.773 0.501 1
O2 0.253 0.446 0.736 1
O3 0.314 0.797 0.186 1
O4 0.348 0.321 0.255 1
O5 0.431 0.003 0.950 1
O6 0.705 0.137 0.509 1
O7 0.746 0.702 0.728 1
O8 0.827 0.805 0.184 1
O9 0.871 0.301 0.258 1
O10 0.928 0.374 0.956 1
```

Summary:
magnetic moment: 5.96 μB/f.u.
E: -6.5570 eV per atom